(1)
# PBE-GGA BeNbV, optimized geometry
# Energy relative to the elements: 0.214 eV/atom
# ΔE to the lowest computed polymorph: 0.79 eV/f.u.
data_BeNbV
_chemical_formula_sum 'Be1 Nb1 V1'
_cell_length_a 4.4093
_cell_length_b 4.4093
_cell_length_c 2.5128
_cell_angle_alpha 90.00
_cell_angle_beta 90.00
_cell_angle_gamma 120.00
_symmetry_space_group_name_H-M 'P 3 m 1'
_symmetry_Int_Tables_number 156
loop_
_symmetry_equiv_pos_as_xyz
'x,y,z'
'-y,x-y,z'
'-x+y,-x,z'
'-y,-x,z'
'-x+y,y,z'
'x,x-y,z'
loop_
_atom_site_label
_atom_site_fract_x
_atom_site_fract_y
_atom_site_fract_z
Be1 0.0000 0.0000 0.0000
Nb1 0.3333 0.6667 0.6419
V1 0.6667 0.3333 0.2746



(2)
# PBE-GGA Be2NbV2, optimized geometry
# Energy relative to the elements: 0.418 eV/atom
# ΔE to the lowest computed polymorph: 2.24 eV/f.u.
data_Be2NbV2
_chemical_formula_sum 'Be4 Nb2 V4'
_cell_length_a 3.718
_cell_length_b 3.718
_cell_length_c 9.555
_cell_angle_alpha 90.00
_cell_angle_beta 90.00
_cell_angle_gamma 90.00
_symmetry_space_group_name_H-M 'I 4/m m m'
_symmetry_Int_Tables_number 139
_symmetry_space_group_name_Hall '-I 4 2'
loop_
_atom_site_label
_atom_site_fract_x
_atom_site_fract_y
_atom_site_fract_z
Be1 0.000 0.500 0.250
Nb1 0.000 0.000 0.000
V1 0.000 0.000 0.392



(3)
# PBE-GGA Be3NbV, optimized geometry
# Energy relative to the elements: 0.954 eV/atom
# ΔE to the lowest computed polymorph: 0.00 eV/f.u.
data_Be3NbV
_chemical_formula_sum 'Be3 Nb1 V1'
_cell_length_a 4.009
_cell_length_b 4.009
_cell_length_c 4.009
_cell_angle_alpha 90.00
_cell_angle_beta 90.00
_cell_angle_gamma 90.00
_symmetry_space_group_name_H-M 'P m -3 m'
_symmetry_Int_Tables_number 221
_symmetry_space_group_name_Hall '-P 4 2 3'
loop_
_atom_site_label
_atom_site_fract_x
_atom_site_fract_y
_atom_site_fract_z
Be1 0.000 0.000 0.500
Nb1 0.500 0.500 0.500
V1 0.000 0.000 0.000



(4)
# PBE-GGA Be6Nb2V, optimized geometry
# Energy relative to the elements: -0.147 eV/atom
data_Be6Nb2V
_chemical_formula_sum 'Be6 Nb2 V1'
_cell_length_a 6.3168
_cell_length_b 6.3168
_cell_length_c 2.9182
_cell_angle_alpha 90.00
_cell_angle_beta 90.00
_cell_angle_gamma 120.00
_symmetry_space_group_name_H-M 'P 6/m m m'
_symmetry_Int_Tables_number 191
_symmetry_space_group_name_Hall '-P 6 2'
loop_
_atom_site_label
_atom_site_fract_x
_atom_site_fract_y
_atom_site_fract_z
Be1 0.0000 0.3282 0.0000
Nb1 0.3333 0.6667 0.5000
V1 0.0000 0.0000 0.5000



(5)
# PBE-GGA Be10NbV, optimized geometry
# Energy relative to the elements: -0.161 eV/atom
data_Be10NbV
_chemical_formula_sum 'Be10 Nb1 V1'
_cell_length_a 3.371
_cell_length_b 4.334
_cell_length_c 7.563
_cell_angle_alpha 90.00
_cell_angle_beta 90.00
_cell_angle_gamma 90.00
_symmetry_space_group_name_H-M 'P m m m'
_symmetry_Int_Tables_number 47
loop_
_symmetry_equiv_pos_as_xyz
'x,y,z'
'-x,-y,-z'
'-x,-y,z'
'x,y,-z'
'x,-y,-z'
'-x,y,z'
'-x,y,-z'
'x,-y,z'
loop_
_atom_site_label
_atom_site_fract_x
_atom_site_fract_y
_atom_site_fract_z
Be1 0.000 0.000 0.000
Be2 0.000 0.249 0.246
Be3 0.000 0.500 0.500
Be4 0.500 0.000 0.159
Be5 0.500 0.500 0.322
Nb1 0.500 0.000 0.500
V1 0.500 0.500 0.000



(6)
# PBE-GGA BeNbV, optimized geometry
# Energy relative to the elements: -0.048 eV/atom
# ΔE to the lowest computed polymorph: 0.00 eV/f.u.
data_BeNbV
_chemical_formula_sum 'Be4 Nb4 V4'
_cell_length_a 4.625
_cell_length_b 5.026
_cell_length_c 6.995
_cell_angle_alpha 90.00
_cell_angle_beta 90.00
_cell_angle_gamma 90.00
_symmetry_space_group_name_H-M 'I m m a'
_symmetry_Int_Tables_number 74
_symmetry_space_group_name_Hall '-I 2b 2'
loop_
_atom_site_label
_atom_site_fract_x
_atom_site_fract_y
_atom_site_fract_z
Be1 0.000 0.000 0.000
Nb1 0.000 0.250 0.375
V1 0.250 0.250 0.750



(7)
# PBE-GGA BeNb2V2, optimized geometry
# Energy relative to the elements: 0.662 eV/atom
# ΔE to the lowest computed polymorph: 0.89 eV/f.u.
data_BeNb2V2
_chemical_formula_sum 'Be2 Nb4 V4'
_cell_length_a 3.399
_cell_length_b 3.399
_cell_length_c 13.696
_cell_angle_alpha 90.00
_cell_angle_beta 90.00
_cell_angle_gamma 90.00
_symmetry_space_group_name_H-M 'I 4/m m m'
_symmetry_Int_Tables_number 139
_symmetry_space_group_name_Hall '-I 4 2'
loop_
_atom_site_label
_atom_site_fract_x
_atom_site_fract_y
_atom_site_fract_z
Be1 0.000 0.000 0.000
Nb1 0.000 0.000 0.411
V1 0.000 0.500 0.250



(8)
# PBE-GGA BeNb2V2, optimized geometry
# Energy relative to the elements: 0.484 eV/atom
# ΔE to the lowest computed polymorph: 0.00 eV/f.u.
data_BeNb2V2
_chemical_formula_sum 'Be2 Nb4 V4'
_cell_length_a 6.755
_cell_length_b 6.755
_cell_length_c 3.473
_cell_angle_alpha 90.00
_cell_angle_beta 90.00
_cell_angle_gamma 90.00
_symmetry_space_group_name_H-M 'P 4/m b m'
_symmetry_Int_Tables_number 127
_symmetry_space_group_name_Hall '-P 4 2ab'
loop_
_atom_site_label
_atom_site_fract_x
_atom_site_fract_y
_atom_site_fract_z
Be1 0.000 0.000 0.000
Nb1 0.153 0.347 0.000
V1 0.156 0.656 0.500



Repeat the second record exactly.
# PBE-GGA Be2NbV2, optimized geometry
# Energy relative to the elements: 0.418 eV/atom
# ΔE to the lowest computed polymorph: 2.24 eV/f.u.
data_Be2NbV2
_chemical_formula_sum 'Be4 Nb2 V4'
_cell_length_a 3.718
_cell_length_b 3.718
_cell_length_c 9.555
_cell_angle_alpha 90.00
_cell_angle_beta 90.00
_cell_angle_gamma 90.00
_symmetry_space_group_name_H-M 'I 4/m m m'
_symmetry_Int_Tables_number 139
_symmetry_space_group_name_Hall '-I 4 2'
loop_
_atom_site_label
_atom_site_fract_x
_atom_site_fract_y
_atom_site_fract_z
Be1 0.000 0.500 0.250
Nb1 0.000 0.000 0.000
V1 0.000 0.000 0.392



Please write out number 3 again, unchanged.
# PBE-GGA Be3NbV, optimized geometry
# Energy relative to the elements: 0.954 eV/atom
# ΔE to the lowest computed polymorph: 0.00 eV/f.u.
data_Be3NbV
_chemical_formula_sum 'Be3 Nb1 V1'
_cell_length_a 4.009
_cell_length_b 4.009
_cell_length_c 4.009
_cell_angle_alpha 90.00
_cell_angle_beta 90.00
_cell_angle_gamma 90.00
_symmetry_space_group_name_H-M 'P m -3 m'
_symmetry_Int_Tables_number 221
_symmetry_space_group_name_Hall '-P 4 2 3'
loop_
_atom_site_label
_atom_site_fract_x
_atom_site_fract_y
_atom_site_fract_z
Be1 0.000 0.000 0.500
Nb1 0.500 0.500 0.500
V1 0.000 0.000 0.000



Please write out number 3 again, unchanged.
# PBE-GGA Be3NbV, optimized geometry
# Energy relative to the elements: 0.954 eV/atom
# ΔE to the lowest computed polymorph: 0.00 eV/f.u.
data_Be3NbV
_chemical_formula_sum 'Be3 Nb1 V1'
_cell_length_a 4.009
_cell_length_b 4.009
_cell_length_c 4.009
_cell_angle_alpha 90.00
_cell_angle_beta 90.00
_cell_angle_gamma 90.00
_symmetry_space_group_name_H-M 'P m -3 m'
_symmetry_Int_Tables_number 221
_symmetry_space_group_name_Hall '-P 4 2 3'
loop_
_atom_site_label
_atom_site_fract_x
_atom_site_fract_y
_atom_site_fract_z
Be1 0.000 0.000 0.500
Nb1 0.500 0.500 0.500
V1 0.000 0.000 0.000



Which formula does entry 8 have? BeNb2V2